[1]
This record from Alexandria via LeMat-Bulk describes crystalline Ba2MnAlS5 at its relaxed geometry. The functional is PBE-GGA.

```
data_Ba2MnAlS5
_symmetry_space_group_name_H-M 'C m c 21'
_symmetry_Int_Tables_number 36
_symmetry_space_group_name_Hall 'C 2c -2'
_cell_length_a 4.0045
_cell_length_b 17.8920
_cell_length_c 12.6550
_cell_angle_alpha 90.00
_cell_angle_beta 90.00
_cell_angle_gamma 90.00
loop_
_atom_site_label
_atom_site_fract_x
_atom_site_fract_y
_atom_site_fract_z
Ba1 0.0000 0.1225 0.0000
Ba2 0.0000 0.1340 0.6229
Mn1 0.0000 0.2101 0.3378
Al1 0.0000 0.4250 0.7476
S1 0.0000 0.0701 0.3466
S2 0.0000 0.2927 0.9529
S3 0.0000 0.3076 0.6862
S4 0.0000 0.3377 0.3162
S5 0.0000 0.4983 0.6065
```

## Properties
E_form (uncorrected) in meV/atom: -1370

---

[2]
This record from Alexandria via LeMat-Bulk describes crystalline Li2HgI at its relaxed geometry. The functional is PBE-GGA.

```
data_Li2HgI
_symmetry_space_group_name_H-M 'F m -3 m'
_symmetry_Int_Tables_number 225
_symmetry_space_group_name_Hall '-F 4 2 3'
_cell_length_a 7.3877
_cell_length_b 7.3877
_cell_length_c 7.3877
_cell_angle_alpha 90.00
_cell_angle_beta 90.00
_cell_angle_gamma 90.00
loop_
_atom_site_label
_atom_site_fract_x
_atom_site_fract_y
_atom_site_fract_z
Li1 0.2500 0.2500 0.2500
Hg1 0.0000 0.0000 0.0000
I1 0.0000 0.0000 0.5000
```

## Properties
E above lowest polymorph in meV per atom: 152.1
E_form (uncorrected) in meV/atom: -437

---

[3]
This record from Alexandria via LeMat-Bulk describes crystalline YTlP2 at its relaxed geometry. The functional is PBE-GGA.

```
data_YTlP2
_symmetry_space_group_name_H-M 'C 1 2/m 1'
_symmetry_Int_Tables_number 12
_symmetry_space_group_name_Hall '-C 2y'
_cell_length_a 6.5006
_cell_length_b 6.9844
_cell_length_c 3.6927
_cell_angle_alpha 90.00
_cell_angle_beta 90.38
_cell_angle_gamma 90.00
loop_
_atom_site_label
_atom_site_fract_x
_atom_site_fract_y
_atom_site_fract_z
Y1 0.0000 0.0000 0.0000
Tl1 0.0000 0.5000 0.0000
P1 0.2500 0.2500 0.5000
```

## Properties
ΔE_f in eV per atom: -0.3593
E above lowest polymorph in meV per atom: 236.9

---

[4]
This record from Alexandria via LeMat-Bulk describes crystalline PaTi2Tl3Se6 at its relaxed geometry. The functional is PBE-GGA.

```
data_PaTi2Tl3Se6
_symmetry_space_group_name_H-M 'P -3 1 m'
_symmetry_Int_Tables_number 162
_symmetry_space_group_name_Hall '-P 3 2'
_cell_length_a 6.5591
_cell_length_b 6.5591
_cell_length_c 8.3972
_cell_angle_alpha 90.00
_cell_angle_beta 90.00
_cell_angle_gamma 120.00
loop_
_atom_site_label
_atom_site_fract_x
_atom_site_fract_y
_atom_site_fract_z
Pa1 0.0000 0.0000 0.0000
Ti1 0.3333 0.6667 0.0000
Tl1 0.0000 0.0000 0.5000
Tl2 0.3333 0.6667 0.5000
Se1 0.0000 0.3517 0.1876
```

## Properties
E_form (uncorrected) in meV/atom: -939